No. 1
RbHfAgSeS2 | GGA-PBE | optimized geometry

Summary:
Symmetry: Cmcm, No. 63

Unit cell a=7.9243 b=7.9243 c=10.3766 alpha=90.00 beta=90.00 gamma=151.86
Atoms (fractional coordinates):
Ag 0.5476 0.4524 0.2500
Ag 0.4524 0.5476 0.7500
Hf 0.0000 0.0000 0.0000
Hf 0.0000 0.0000 0.5000
Rb 0.2475 0.7525 0.2500
Rb 0.7525 0.2475 0.7500
S 0.6121 0.3879 0.0333
S 0.6121 0.3879 0.4667
S 0.3879 0.6121 0.5333
S 0.3879 0.6121 0.9667
Se 0.9311 0.0689 0.2500
Se 0.0689 0.9311 0.7500


No. 2
NaReBiAs | GGA-PBE | optimized geometry

Summary:
Symmetry: F-43m, No. 216

Unit cell a=4.8372 b=4.8372 c=4.8372 alpha=60.00 beta=60.00 gamma=60.00
Atoms (fractional coordinates):
As 0.2500 0.2500 0.2500
Bi 0.0000 0.0000 0.0000
Na 0.7500 0.7500 0.7500
Re 0.5000 0.5000 0.5000


No. 3
LiHgPd2 | GGA-PBE | optimized geometry

Summary:
Symmetry: P6_3/mmc, No. 194

Unit cell a=4.4371 b=4.4371 c=8.1862 alpha=90.00 beta=90.00 gamma=120.00
Atoms (fractional coordinates):
Hg 0.6667 0.3333 0.2500
Hg 0.3333 0.6667 0.7500
Li 0.0000 0.0000 0.2500
Li 0.0000 0.0000 0.7500
Pd 0.3333 0.6667 0.0831
Pd 0.3333 0.6667 0.4169
Pd 0.6667 0.3333 0.5831
Pd 0.6667 0.3333 0.9169


No. 4
Tm2CoReSi2C | GGA-PBE | optimized geometry

Summary:
Symmetry: Cm, No. 8

Unit cell a=5.7174 b=5.7174 c=6.7332 alpha=125.99 beta=125.99 gamma=40.66
Atoms (fractional coordinates):
C 0.0081 0.0081 0.0128
Co 0.2085 0.2085 0.3171
Re 0.7977 0.7977 0.6959
Si 0.8407 0.8407 0.3802
Si 0.1428 0.1428 0.5902
Tm 0.4386 0.4386 0.1723
Tm 0.5635 0.5635 0.8315


No. 5
BaSbAu | GGA-PBE | optimized geometry

Summary:
Symmetry: P6_3/mmc, No. 194

Unit cell a=5.5889 b=5.5878 c=6.7932 alpha=90.00 beta=90.00 gamma=120.01
Atoms (fractional coordinates):
Au 0.3333 0.6666 0.2500
Au 0.6667 0.3334 0.7500
Ba 0.6667 0.3333 0.2500
Ba 0.3333 0.6667 0.7500
Sb 0.0000 0.0000 0.0000
Sb 0.0000 0.0000 0.5000


No. 6
LiHgGe | GGA-PBE | optimized geometry

Summary:
Symmetry: F-43m, No. 216

Unit cell a=4.4784 b=4.4784 c=4.4784 alpha=60.00 beta=60.00 gamma=60.00
Atoms (fractional coordinates):
Ge 0.2500 0.2500 0.2500
Hg 0.0000 0.0000 0.0000
Li 0.7500 0.7500 0.7500


No. 7
YTmBPb | GGA-PBE | optimized geometry

Summary:
Symmetry: P-3m1, No. 164

Unit cell a=3.6730 b=3.6730 c=16.5688 alpha=90.00 beta=90.00 gamma=120.00
Site moments in Bohr magnetons follow the coordinates.
Atoms (fractional coordinates):
B 0.0000 0.0000 0.0000  0.02
B 0.0000 0.0000 0.5000  0.18
Pb 0.6667 0.3333 0.2532  0.00
Pb 0.3333 0.6667 0.7468  0.00
Tm 0.3333 0.6667 0.4134  0.13
Tm 0.6667 0.3333 0.5866  0.13
Y 0.3333 0.6667 0.0916  0.01
Y 0.6667 0.3333 0.9084  0.01


No. 8
PuUFe | GGA-PBE | optimized geometry

Summary:
Symmetry: F-43m, No. 216
Energy relative to the elements in kJ/mol of formula units: 31

Unit cell a=4.1757 b=4.1757 c=4.1757 alpha=60.00 beta=60.00 gamma=60.00
Atoms (fractional coordinates):
Fe 0.2500 0.2500 0.2500
Pu 0.7500 0.7500 0.7500
U 0.0000 0.0000 0.0000


Sequential calculated volume output: 25.6, 20.0, 17.4, 16.0, 30.6, 21.2, 24.2, 17.2 Å³/atom
Sequential final energy output: -5.342, -4.615, -3.366, -7.581, -3.653, -2.380, -5.558, -11.136 eV/atom